No. 1
{
  "formula": "Ac2InAg2Pd5",
  "functional": "PBE-GGA",
  "state": "relaxed",
  "delta_e_f_ev_per_atom": -0.53,
  "volume_a3_per_fu": 211.5,
  "dft_energy_ev_per_atom": -4.7908,
  "crystal_system": "tetragonal",
  "lattice_angstrom": [[10.278, 0.000, 0.000], [0.000, 10.278, 0.000], [0.000, 0.000, 4.004]],
  "species": ["Ac", "Ac", "Ac", "Ac", "In", "In", "Ag", "Ag", "Ag", "Ag", "Pd", "Pd", "Pd", "Pd", "Pd", "Pd", "Pd", "Pd", "Pd", "Pd"],
  "fractional_positions": [[0.174, 0.326, 0.000], [0.326, 0.826, 0.000], [0.674, 0.174, 0.000], [0.826, 0.674, 0.000], [0.000, 0.000, 0.000], [0.500, 0.500, 0.000], [0.126, 0.626, 0.000], [0.374, 0.126, 0.000], [0.626, 0.874, 0.000], [0.874, 0.374, 0.000], [0.000, 0.500, 0.500], [0.054, 0.801, 0.500], [0.199, 0.054, 0.500], [0.301, 0.554, 0.500], [0.446, 0.301, 0.500], [0.500, 0.000, 0.500], [0.554, 0.699, 0.500], [0.699, 0.446, 0.500], [0.801, 0.946, 0.500], [0.946, 0.199, 0.500]]
}



No. 2
{
  "formula": "ZrCr3Ga",
  "functional": "PBE-GGA",
  "state": "relaxed",
  "delta_e_f_ev_per_atom": 1.01,
  "volume_a3_per_fu": 94.7,
  "dft_energy_ev_per_atom": -7.0772,
  "relative_energy_mev_per_atom": 0,
  "crystal_system": "cubic",
  "lattice_angstrom": [[4.558, 0.000, 0.000], [0.000, 4.558, 0.000], [0.000, 0.000, 4.558]],
  "species": ["Zr", "Cr", "Cr", "Cr", "Ga"],
  "fractional_positions": [[0.000, 0.000, 0.000], [0.000, 0.500, 0.500], [0.500, 0.000, 0.500], [0.500, 0.500, 0.000], [0.500, 0.500, 0.500]]
}



No. 3
{
  "formula": "ScH3Pd6",
  "functional": "PBE-GGA",
  "state": "relaxed",
  "volume_a3_per_fu": 121.7,
  "dft_energy_ev_per_atom": -5.0055,
  "relative_energy_mev_per_atom": 32,
  "crystal_system": "monoclinic",
  "lattice_angstrom": [[9.153, 0.000, 0.000], [0.000, 2.937, 0.000], [-2.408, 0.000, 9.057]],
  "species": ["Sc", "Sc", "H", "H", "H", "H", "H", "H", "Pd", "Pd", "Pd", "Pd", "Pd", "Pd", "Pd", "Pd", "Pd", "Pd", "Pd", "Pd"],
  "fractional_positions": [[0.056, 0.250, 0.169], [0.944, 0.750, 0.831], [0.194, 0.250, 0.593], [0.395, 0.750, 0.089], [0.451, 0.750, 0.660], [0.549, 0.250, 0.340], [0.605, 0.250, 0.911], [0.806, 0.750, 0.407], [0.093, 0.750, 0.412], [0.177, 0.750, 0.713], [0.220, 0.250, 0.973], [0.318, 0.750, 0.258], [0.375, 0.250, 0.543], [0.469, 0.750, 0.862], [0.531, 0.250, 0.138], [0.625, 0.750, 0.457], [0.682, 0.250, 0.742], [0.780, 0.750, 0.027], [0.823, 0.250, 0.287], [0.907, 0.250, 0.588]]
}



No. 4
{
  "formula": "PrSi3Au2",
  "functional": "PBE-GGA",
  "state": "relaxed",
  "e_form_raw_ev_per_atom": -0.4040,
  "volume_a3_per_fu": 117.3,
  "dft_energy_ev_per_atom": -5.0046,
  "crystal_system": "tetragonal",
  "lattice_angstrom": [[-2.156, 2.156, 12.622], [2.156, -2.156, 12.622], [2.156, 2.156, -12.622]],
  "species": ["Pr", "Pr", "Si", "Si", "Si", "Si", "Si", "Si", "Au", "Au", "Au", "Au"],
  "fractional_positions": [[0.147, 0.147, 0.000], [0.853, 0.853, 0.000], [0.046, 0.546, 0.500], [0.305, 0.305, 0.000], [0.454, 0.954, 0.500], [0.546, 0.046, 0.500], [0.695, 0.695, 0.000], [0.954, 0.454, 0.500], [0.250, 0.750, 0.500], [0.403, 0.403, 0.000], [0.597, 0.597, 0.000], [0.750, 0.250, 0.500]]
}



No. 5
{
  "formula": "NaUFeS4",
  "functional": "PBE-GGA",
  "state": "relaxed",
  "e_form_raw_ev_per_atom": -0.9634,
  "volume_a3_per_fu": 146.2,
  "dft_energy_ev_per_atom": -6.3319,
  "crystal_system": "monoclinic",
  "lattice_angstrom": [[6.508, 0.000, 0.000], [0.000, 5.669, 0.000], [-2.585, 0.000, 7.924]],
  "species": ["Na", "Na", "U", "U", "Fe", "Fe", "S", "S", "S", "S", "S", "S", "S", "S"],
  "fractional_positions": [[0.212, 0.250, 0.444], [0.788, 0.750, 0.556], [0.238, 0.250, 0.942], [0.762, 0.750, 0.058], [0.266, 0.750, 0.178], [0.734, 0.250, 0.822], [0.069, 0.750, 0.352], [0.069, 0.750, 0.906], [0.478, 0.514, 0.783], [0.478, 0.986, 0.783], [0.522, 0.014, 0.217], [0.522, 0.486, 0.217], [0.931, 0.250, 0.094], [0.931, 0.250, 0.648]]
}



No. 6
{
  "formula": "Er8HC4S3",
  "functional": "PBE-GGA",
  "state": "relaxed",
  "volume_a3_per_fu": 287.3,
  "dft_energy_ev_per_atom": -6.6836,
  "crystal_system": "trigonal",
  "lattice_angstrom": [[3.641, 2.102, 6.255], [-3.641, 2.102, 6.255], [0.000, -4.204, 6.255]],
  "species": ["Er", "Er", "Er", "Er", "Er", "Er", "Er", "Er", "H", "C", "C", "C", "C", "S", "S", "S"],
  "fractional_positions": [[0.237, 0.237, 0.237], [0.237, 0.736, 0.736], [0.264, 0.264, 0.763], [0.264, 0.763, 0.264], [0.736, 0.237, 0.736], [0.736, 0.736, 0.237], [0.763, 0.264, 0.264], [0.763, 0.763, 0.763], [0.000, 0.000, 0.000], [0.000, 0.000, 0.500], [0.000, 0.500, 0.000], [0.500, 0.000, 0.000], [0.500, 0.500, 0.500], [0.000, 0.500, 0.500], [0.500, 0.000, 0.500], [0.500, 0.500, 0.000]]
}